1.
5
Lattice="4.914 0.000 0.000 0.000 4.914 0.000 0.000 0.000 4.914" Properties=species:S:1:pos:R:3 comment="TlBiRu3 (GGA-PBEsol, optimized geometry)" spacegroup="No. 221" density_g_cm3=10.025 dos_ef_per_ev_cell=8.57 formation_enthalpy_0k_ev_per_atom=2.167 crystal_system=cubic pbc="T T T"
Ru 2.457 0.000 0.000
Ru 0.000 2.457 0.000
Ru 0.000 0.000 2.457
Tl 0.000 0.000 0.000
Bi 2.457 2.457 2.457

=====

2.
5
Lattice="-0.431 -0.118 3.358 -3.057 -1.392 -0.442 4.551 -5.453 -1.316" Properties=species:S:1:pos:R:3 comment="HfZn2Os2 (GGA-PBEsol, optimized geometry)" spacegroup="No. 139" density_g_cm3=14.644 dos_ef_per_ev_cell=5.13 formation_enthalpy_0k_ev_per_atom=0.171 crystal_system=tetragonal pbc="T T T"
Zn -0.125 -3.800 -0.150
Zn 1.188 -3.164 1.750
Hf 0.000 0.000 0.000
Os 2.230 -4.933 0.113
Os -1.167 -2.031 1.487

=====

3.
4
Lattice="-4.479 1.225 0.944 -1.898 -1.028 4.218 -0.905 3.468 3.100" Properties=species:S:1:pos:R:3 comment="KTeIr2 (GGA-PBEsol, optimized geometry)" spacegroup="No. 216" density_g_cm3=12.165 dos_ef_per_ev_cell=4.69 raw_formation_energy_ev_per_fu=4.0 crystal_system=cubic pbc="T T T"
Ir 0.000 0.000 0.000
Ir -1.820 0.916 2.066
K -3.641 1.832 4.131
Te -5.461 2.748 6.197

=====

4.
56
Lattice="6.392 0.000 0.000 0.000 7.299 0.000 0.000 0.000 14.240" Properties=species:S:1:pos:R:3 comment="CaV2P2O9 (GGA-PBEsol, optimized geometry)" spacegroup="No. 62" density_g_cm3=3.479 dos_ef_per_ev_cell=27.77 raw_formation_energy_ev_per_fu=-34.6 crystal_system=orthorhombic pbc="T T T"
O 4.794 3.324 10.447
O 1.598 6.973 10.912
O 4.794 5.750 10.636
O 1.598 3.626 6.973
O 1.598 6.073 7.372
O 1.598 0.962 6.349
O 6.006 0.947 12.350
O 4.794 3.673 7.266
O 4.794 4.611 0.771
O 2.811 4.596 9.009
O 0.326 2.879 1.855
O 6.006 2.702 5.230
O 1.598 3.975 3.792
O 4.794 2.424 13.988
O 4.794 5.197 3.516
O 4.794 7.275 0.146
O 1.598 1.548 3.604
O 6.066 4.419 12.384
O 3.522 6.529 5.264
O 2.870 0.770 8.975
O 3.581 2.702 5.230
O 4.794 1.225 6.868
O 2.870 2.879 1.855
O 1.598 0.024 14.093
O 3.522 4.419 12.384
O 4.794 0.326 3.327
O 1.598 2.688 13.468
O 4.794 6.337 7.891
O 0.385 6.351 1.890
O 1.598 4.875 0.252
O 3.581 0.947 12.350
O 1.598 2.101 10.724
O 0.385 4.596 9.009
O 0.326 0.770 8.975
O 2.811 6.351 1.890
O 6.066 6.529 5.264
P 4.794 6.489 4.387
P 4.794 4.458 11.507
P 1.598 6.280 0.937
P 1.598 2.840 2.733
P 4.794 2.631 6.183
P 4.794 1.019 13.303
P 1.598 4.668 8.057
P 1.598 0.809 9.853
Ca 1.598 6.437 3.966
Ca 1.598 4.511 11.086
Ca 4.794 2.788 3.154
Ca 4.794 0.862 10.274
V 4.794 6.162 1.696
V 4.794 4.786 8.816
V 1.598 1.136 12.543
V 1.598 2.513 5.424
V 3.196 0.000 7.120
V 0.000 3.649 0.000
V 0.000 0.000 7.120
V 3.196 3.649 0.000

=====

5.
60
Lattice="8.413 0.000 0.000 0.000 9.315 -0.012 0.000 -2.260 9.148" Properties=species:S:1:pos:R:3 comment="RbAlBP2HO9 (GGA-PBEsol, optimized geometry)" spacegroup="No. 14" density_g_cm3=3.061 dos_ef_per_ev_cell=0.00 final_energy_ev_per_atom=-7.337 crystal_system=monoclinic pbc="T T T"
H 3.698 6.025 9.124
H 4.715 1.029 0.011
H 7.905 -0.101 4.585
H 0.508 7.155 4.551
O 1.663 6.857 6.823
O 1.101 -0.088 6.186
O 6.029 6.545 5.158
O 4.509 -0.348 8.795
O 7.311 7.143 2.950
O 5.308 6.012 7.524
O 3.585 5.908 2.144
O 2.543 7.987 2.250
O 7.002 3.705 7.715
O 7.119 4.112 5.194
O 1.411 3.350 1.421
O 2.384 0.510 3.978
O 1.822 -0.620 8.552
O 4.827 1.147 6.992
O 0.302 6.272 4.915
O 8.110 0.782 4.221
O 6.591 7.675 0.584
O 5.870 -0.932 6.886
O 7.692 6.787 7.075
O 2.913 1.813 8.516
O 0.721 0.268 2.061
O 7.792 2.277 2.418
O 2.796 2.219 5.994
O 0.135 2.347 6.368
O 8.278 4.708 2.768
O 4.341 3.578 7.342
O 4.927 7.917 2.501
O 6.750 0.198 2.312
O 3.105 1.042 1.612
O 3.904 7.402 0.341
O 1.294 2.943 3.942
O 0.621 4.778 6.718
O 4.072 3.477 1.794
O 5.617 4.835 3.141
O 5.500 5.242 0.620
O 3.486 -0.862 6.635
P 6.422 8.000 2.057
P 4.739 4.844 1.885
P 0.533 3.341 2.677
P 2.216 0.184 2.504
P 3.674 2.211 7.251
P 7.880 3.714 6.459
P 6.197 6.870 6.631
P 1.990 -0.946 7.078
Al 7.115 5.542 3.965
Al 1.298 1.512 5.171
Al 5.504 4.412 8.539
Al 2.909 2.642 0.597
Rb 7.504 0.782 8.572
Rb 0.909 6.273 0.563
Rb 5.115 1.912 3.999
Rb 3.297 5.143 5.137
B 0.438 6.191 6.396
B 4.645 -0.267 7.314
B 3.768 7.321 1.822
B 7.975 0.863 2.740

=====

6.
5
Lattice="5.178 0.000 0.000 0.000 5.178 0.000 0.000 0.000 5.418" Properties=species:S:1:pos:R:3 comment="BaLi2AlTl (GGA-PBEsol, optimized geometry)" spacegroup="No. 123" density_g_cm3=4.374 dos_ef_per_ev_cell=3.62 formation_enthalpy_0k_ev_per_atom=-0.014 crystal_system=tetragonal pbc="T T T"
Tl 0.000 0.000 0.000
Al 0.000 0.000 2.709
Ba 2.589 2.589 2.709
Li 0.000 2.589 0.000
Li 2.589 0.000 0.000

=====

7.
4
Lattice="4.014 0.000 0.000 2.007 3.477 0.000 2.007 1.159 7.625" Properties=species:S:1:pos:R:3 comment="La2ZnRu (GGA-PBEsol, optimized geometry)" spacegroup="No. 166" density_g_cm3=6.933 dos_ef_per_ev_cell=2.57 formation_enthalpy_0k_ev_per_atom=-0.060 crystal_system=trigonal pbc="T T T"
Zn 4.014 2.318 3.812
La 2.007 1.159 1.561
La 6.022 3.477 6.064
Ru 0.000 0.000 0.000

=====

8.
4
Lattice="3.752 0.000 0.219 0.000 3.760 0.000 -0.416 0.000 6.242" Properties=species:S:1:pos:R:3 comment="YTlP2 (GGA-PBEsol, optimized geometry)" spacegroup="No. 10" density_g_cm3=6.673 dos_ef_per_ev_cell=2.21 formation_enthalpy_0k_ev_per_atom=-0.626 crystal_system=monoclinic pbc="T T T"
P -0.277 0.000 4.237
P 3.613 0.000 2.224
Tl 1.876 1.880 0.110
Y 1.668 1.880 3.230

=====

9.
5
Lattice="-3.890 4.004 4.823 -5.592 -4.782 -0.541 2.832 -3.941 5.557" Properties=species:S:1:pos:R:3 comment="K3RbFe (GGA-PBEsol, optimized geometry)" spacegroup="No. 221" density_g_cm3=1.069 dos_ef_per_ev_cell=14.04 formation_enthalpy_0k_ev_per_atom=1.258 crystal_system=cubic pbc="T T T"
K 1.416 -1.970 2.778
K -2.796 -2.391 -0.270
K -1.945 2.002 2.411
Rb 0.000 0.000 0.000
Fe -3.325 -2.359 4.919

=====

10.
4
Lattice="2.703 0.000 0.000 0.000 4.388 0.015 -1.352 -0.947 4.168" Properties=species:S:1:pos:R:3 comment="Cu3Pt (GGA-PBEsol, optimized geometry)" spacegroup="No. 12" density_g_cm3=12.945 dos_ef_per_ev_cell=1.48 formation_enthalpy_0k_ev_per_atom=-0.095 crystal_system=monoclinic pbc="T T T"
Cu 1.352 2.846 2.122
Cu 1.352 0.000 0.000
Cu 0.000 0.595 2.061
Pt 0.000 2.194 0.008

=====

11.
4
Lattice="-0.071 -2.679 -0.796 2.256 -1.618 0.335 -2.156 -3.773 7.975" Properties=species:S:1:pos:R:3 comment="MgOs2W (GGA-PBEsol, optimized geometry)" spacegroup="No. 166" density_g_cm3=16.155 dos_ef_per_ev_cell=2.34 formation_enthalpy_0k_ev_per_atom=0.193 crystal_system=trigonal pbc="T T T"
W 0.014 -4.035 3.757
Os 0.049 -6.030 5.559
Os -0.020 -2.039 1.954
Mg 0.000 0.000 0.000

=====

12.
4
Lattice="-1.055 -1.042 2.309 2.743 0.413 1.440 -1.766 5.653 1.745" Properties=species:S:1:pos:R:3 comment="ZrBe2Pt (GGA-PBEsol, optimized geometry)" spacegroup="No. 47" density_g_cm3=9.545 dos_ef_per_ev_cell=2.09 formation_enthalpy_0k_ev_per_atom=-0.433 crystal_system=orthorhombic pbc="T T T"
Pt 0.844 -0.315 1.874
Be -1.424 4.559 1.407
Be -0.342 1.094 0.338
Zr -0.039 2.512 2.747

=====

Please write out number 7 again, unchanged.
4
Lattice="4.014 0.000 0.000 2.007 3.477 0.000 2.007 1.159 7.625" Properties=species:S:1:pos:R:3 comment="La2ZnRu (GGA-PBEsol, optimized geometry)" spacegroup="No. 166" density_g_cm3=6.933 dos_ef_per_ev_cell=2.57 formation_enthalpy_0k_ev_per_atom=-0.060 crystal_system=trigonal pbc="T T T"
Zn 4.014 2.318 3.812
La 2.007 1.159 1.561
La 6.022 3.477 6.064
Ru 0.000 0.000 0.000

=====

Please write out number 9 again, unchanged.
5
Lattice="-3.890 4.004 4.823 -5.592 -4.782 -0.541 2.832 -3.941 5.557" Properties=species:S:1:pos:R:3 comment="K3RbFe (GGA-PBEsol, optimized geometry)" spacegroup="No. 221" density_g_cm3=1.069 dos_ef_per_ev_cell=14.04 formation_enthalpy_0k_ev_per_atom=1.258 crystal_system=cubic pbc="T T T"
K 1.416 -1.970 2.778
K -2.796 -2.391 -0.270
K -1.945 2.002 2.411
Rb 0.000 0.000 0.000
Fe -3.325 -2.359 4.919